Crystalline Sc3CuRh at its relaxed geometry. Source: Alexandria, functional PBEsol.

Values from the calculation:
The calculation puts the formation energy at 0.315 eV/atom. The electronic total energy is -6.14 eV per atom.

a = 4.732 Å, b = 4.732 Å, c = 4.732 Å
α = 90.00°, β = 90.00°, γ = 90.00°
Positions (direct):
Sc  0.000  0.000  0.500
Sc  0.000  0.500  0.000
Sc  0.500  0.000  0.000
Cu  0.000  0.000  0.000
Rh  0.500  0.500  0.500